Here is crystalline CaZrAs2Se at its relaxed geometry from Alexandria. Energies are from PBE-GGA.

Calculated values
Energy relative to the lowest polymorph listed for this composition, eV/atom: 1.132
Crystal system: tetragonal
E_form (uncorrected), meV per atom: 515

a b c (Å): 5.1423 5.1423 5.1809
angles (deg): 90.00 90.00 90.00
Last column: nearest neighbours and their distance in Å.
Atoms (fractional coordinates):
Se (0.0000, 0.0000, 0.5000)  2 Ca 2.59
As (0.0000, 0.5000, 0.0000)  2 Ca 2.57
Zr (0.5000, 0.5000, 0.5000)  4 Se 3.64, 8 As 3.65
Ca (0.0000, 0.0000, 0.0000)  4 As 2.57, 2 Se 2.59
As (0.5000, 0.0000, 0.0000)  2 Ca 2.57

---

Here is crystalline Sc3AgSe at its relaxed geometry from Alexandria. Energies are from PBE-GGA.

Calculated values
Energy relative to the lowest polymorph listed for this composition, eV/atom: 0.439
Crystal system: cubic
E_form (uncorrected), meV per atom: 99

a b c (Å): 5.1375 5.1375 5.1375
angles (deg): 90.00 90.00 90.00
Last column: nearest neighbours and their distance in Å.
Atoms (fractional coordinates):
Sc (0.0000, 0.5000, 0.0000)  2 Ag 2.57
Se (0.5000, 0.5000, 0.5000)  12 Sc 3.63
Ag (0.0000, 0.0000, 0.0000)  6 Sc 2.57
Sc (0.0000, 0.0000, 0.5000)  2 Ag 2.57
Sc (0.5000, 0.0000, 0.0000)  2 Ag 2.57

---

Here is crystalline ReAs2Rh at its relaxed geometry from Alexandria. Energies are from PBE-GGA.

Calculated values
Formation energy from the elements, eV per atom: 0.40
Energy relative to the lowest polymorph listed for this composition, eV/atom: 0.464
Crystal system: orthorhombic

a b c (Å): 4.9927 4.9927 4.9927
angles (deg): 143.60 118.68 73.45
Last column: nearest neighbours and their distance in Å.
Atoms (fractional coordinates):
Rh (0.2500, 0.7500, 0.5000)  4 As 2.52
Re (0.7500, 0.2500, 0.5000)  4 As 2.55
As (0.4975, 0.4975, 0.0000)  2 Rh 2.52, 2 Re 2.55
As (0.0025, 0.0025, 0.0000)  2 Rh 2.52, 2 Re 2.55

---

Here is crystalline Dy4MgCu5 at its relaxed geometry from Alexandria. Energies are from PBE-GGA.

Calculated values
Formation energy from the elements, eV per atom: -0.21
Crystal system: tetragonal

a b c (Å): 3.4026 3.4026 17.1984
angles (deg): 90.00 90.00 90.00
Last column: nearest neighbours and their distance in Å.
Atoms (fractional coordinates):
Dy (0.0000, 0.0000, 0.6031)  8 Cu 2.99
Cu (0.5000, 0.5000, 0.9131)  4 Mg 2.83, 1 Cu 2.99, 4 Dy 2.99
Mg (0.0000, 0.0000, 0.0000)  8 Cu 2.83
Cu (0.5000, 0.5000, 0.5000)  8 Dy 2.99
Cu (0.5000, 0.5000, 0.2936)  8 Dy 2.99
Dy (0.0000, 0.0000, 0.8095)  8 Cu 2.99, 1 Mg 3.28
Dy (0.0000, 0.0000, 0.3969)  8 Cu 2.99
Cu (0.5000, 0.5000, 0.0869)  4 Mg 2.83, 1 Cu 2.99, 4 Dy 2.99
Dy (0.0000, 0.0000, 0.1905)  8 Cu 2.99, 1 Mg 3.28
Cu (0.5000, 0.5000, 0.7064)  8 Dy 2.99

---

Here is crystalline KLiSi3 at its relaxed geometry from Alexandria. Energies are from PBE-GGA.

Calculated values
Energy relative to the lowest polymorph listed for this composition, eV/atom: 0.000
Crystal system: cubic
E_form (uncorrected), meV per atom: 683

a b c (Å): 4.7120 4.7120 4.7120
angles (deg): 90.00 90.00 90.00
Last column: nearest neighbours and their distance in Å.
Atoms (fractional coordinates):
Li (0.0000, 0.0000, 0.0000)  6 Si 2.36
Si (0.5000, 0.0000, 0.0000)  2 Li 2.36
Si (0.0000, 0.0000, 0.5000)  2 Li 2.36
K (0.5000, 0.5000, 0.5000)  12 Si 3.33
Si (0.0000, 0.5000, 0.0000)  2 Li 2.36

---

Here is crystalline BaEuMgCu at its relaxed geometry from Alexandria. Energies are from PBE-GGA.

Calculated values
Formation energy from the elements, eV per atom: 0.07
Crystal system: cubic

a b c (Å): 5.6781 5.6781 5.6781
angles (deg): 60.00 60.00 60.00
Last column: nearest neighbours and their distance in Å.
Atoms (fractional coordinates):
Cu (0.0000, 0.0000, 0.0000)  4 Ba 3.48, 4 Eu 3.48
Ba (0.2500, 0.2500, 0.2500)  4 Mg 3.48, 4 Cu 3.48
Mg (0.5000, 0.5000, 0.5000)  4 Ba 3.48, 4 Eu 3.48
Eu (0.7500, 0.7500, 0.7500)  4 Mg 3.48, 4 Cu 3.48

---

Here is crystalline La2B12Os3Ru at its relaxed geometry from Alexandria. Energies are from PBE-GGA.

Calculated values
Formation energy from the elements, eV per atom: 0.13
Crystal system: trigonal

a b c (Å): 8.3443 8.3443 8.3443
angles (deg): 40.11 40.11 40.11
Last column: nearest neighbours and their distance in Å.
Atoms (fractional coordinates):
B (0.3441, 0.9350, 0.9350)  2 B 1.76
Os (0.5000, 0.0000, 0.0000)  6 B 2.21-2.22
La (0.3610, 0.3610, 0.3610)  15 B 2.73-3.05
B (0.3432, 0.3432, 0.0342)  4 B 1.76-1.77
Os (0.0000, 0.0000, 0.5000)  6 B 2.21-2.22
B (0.0650, 0.0650, 0.6559)  2 B 1.76
Ru (0.0000, 0.0000, 0.0000)  6 B 2.13
B (0.9350, 0.9350, 0.3441)  2 B 1.76
B (0.3432, 0.0342, 0.3432)  4 B 1.76-1.77
B (0.6568, 0.6568, 0.9658)  4 B 1.76-1.77
B (0.9350, 0.3441, 0.9350)  2 B 1.76
B (0.0650, 0.6559, 0.0650)  2 B 1.76
B (0.6568, 0.9658, 0.6568)  4 B 1.76-1.77
B (0.0342, 0.3432, 0.3432)  4 B 1.76-1.77
La (0.6390, 0.6390, 0.6390)  15 B 2.73-3.05
B (0.6559, 0.0650, 0.0650)  2 B 1.76
B (0.9658, 0.6568, 0.6568)  4 B 1.76-1.77
Os (0.0000, 0.5000, 0.0000)  6 B 2.21-2.22